DFT (PBE-GGA) results for an optimized crystal structure of KNpPO5.

## Properties
E_form (uncorrected) in eV per atom: -2.5653
N(E_F) in states/eV/atom: 0.83
Raw total energy in eV/atom: -8.095

The structure in CIF format:
```
data_KNpPO5
_chemical_formula_sum 'K4 Np4 P4 O20'
_symmetry_space_group_name_H-M 'C 1 2/c 1'
_symmetry_Int_Tables_number 15
_cell_length_a 7.286
_cell_length_b 9.626
_cell_length_c 7.903
_cell_angle_alpha 90.00
_cell_angle_beta 114.23
_cell_angle_gamma 90.00
loop_
_symmetry_equiv_pos_as_xyz
'x,y,z'
'-x,-y,-z'
'-x,y,-z+1/2'
'x,-y,z+1/2'
'x+1/2,y+1/2,z'
'-x+1/2,-y+1/2,-z'
'-x+1/2,y+1/2,-z+1/2'
'x+1/2,-y+1/2,z+1/2'
loop_
_atom_site_label
_atom_site_fract_x
_atom_site_fract_y
_atom_site_fract_z
K1 0.000 0.163 0.250
Np1 0.000 0.500 0.000
P1 0.000 0.184 0.750
O1 0.000 0.432 0.250
O2 0.081 0.278 0.634
O3 0.171 0.088 0.883
```